(1)
Density functional theory data (PBE-GGA) for an optimized crystal structure of Li3MnBr.

The space group is Pm-3m (No. 221) and the conventional cell measures 4.8631, 4.8631 and 4.8631 Å, with angles of 90.00, 90.00 and 90.00 degrees. The inequivalent atoms are Li at (0.0000, 0.0000, 0.5000), Mn at (0.5000, 0.5000, 0.5000) and Br at (0.0000, 0.0000, 0.0000).

Its total energy is -3.296 eV per atom. The value obtained for the formation energy (no corrections) is 0.021 eV/atom. The density of states at the Fermi level is 1.091 states/eV/atom.

=====

(2)
Density functional theory data (PBE-GGA) for an optimized crystal structure of Li2MnBr4.

The space group is Imma (No. 74) and the conventional cell measures 7.9206, 7.9881 and 10.5815 Å, with angles of 90.00, 90.00 and 90.00 degrees. The inequivalent atoms are Li at (0.0000, 0.0000, 0.0000), Li at (0.2500, 0.2500, 0.2500), Mn at (0.0000, 0.0000, 0.5000), Br at (0.0000, 0.0156, 0.2549) and Br at (0.2438, 0.2500, 0.5059).

Its total energy is -3.970 eV per atom. The value obtained for the formation energy (no corrections) is -1.158 eV/atom. The density of states at the Fermi level is 0.000 states/eV/atom.

=====

(3)
Density functional theory data (PBE-GGA) for an optimized crystal structure of Li2MnBr4.

The space group is P4_122 (No. 91) and the conventional cell measures 7.8397, 7.8397 and 11.0965 Å, with angles of 90.00, 90.00 and 90.00 degrees. The inequivalent atoms are Li at (0.0000, 0.2498, 0.0000), Li at (0.0000, 0.2502, 0.5000), Mn at (0.2475, 0.5000, 0.2500), Br at (0.0113, 0.2474, 0.2420) and Br at (0.2491, 0.4932, 0.4877).

Its total energy is -4.004 eV per atom. The value obtained for the formation energy (no corrections) is -1.191 eV/atom. The density of states at the Fermi level is 0.000 states/eV/atom.

=====

(4)
Density functional theory data (PBE-GGA) for an optimized crystal structure of Li2MnBr.

The space group is F-43m (No. 216) and the conventional cell measures 6.8025, 6.8025 and 6.8025 Å, with angles of 90.00, 90.00 and 90.00 degrees. The inequivalent atoms are Li at (0.0000, 0.0000, 0.0000), Li at (0.2500, 0.2500, 0.2500), Mn at (0.2500, 0.2500, 0.7500) and Br at (0.0000, 0.0000, 0.5000).

Its total energy is -3.458 eV per atom. The value obtained for the formation energy (no corrections) is 0.209 eV/atom. The density of states at the Fermi level is 0.876 states/eV/atom.

=====

Which formula does entry 4 have? Li2MnBr